Sc2AlPt5 (PBE, optimized geometry); total magnetization = 0.000 μB/cell; space-group type = Pbam; ρ = 14.07 g/cm³; electronic total energy = -6.97 eV per atom
1.0
-0.298 -2.825 -2.963
-2.655 -3.449 3.555
-9.818 4.325 -3.136
Sc Al Pt
4 2 10
Direct
0.500 0.308 0.360 Sc
0.500 0.692 0.640 Sc
0.500 0.192 0.860 Sc
0.500 0.808 0.140 Sc
0.000 0.000 0.500 Al
0.000 0.500 0.000 Al
0.500 0.303 0.106 Pt
0.500 0.697 0.894 Pt
0.500 0.803 0.394 Pt
0.500 0.197 0.606 Pt
0.000 0.948 0.743 Pt
0.000 0.052 0.257 Pt
0.000 0.448 0.757 Pt
0.000 0.552 0.243 Pt
0.000 0.500 0.500 Pt
0.000 0.000 0.000 Pt